1.
A plane-wave DFT calculation with meta-GGA SCAN was carried out for Sr4SiPb at its PBEsol-relaxed geometry.

Cell lengths 6.6655, 6.6655, 6.6655 Å; angles 60.00, 60.00, 60.00 degrees
Sites, in units of the cell vectors:
1 Si 0.0000 0.0000 0.0000
2 Sr 0.8760 0.3747 0.3747
3 Sr 0.3747 0.3747 0.3747
4 Sr 0.3747 0.3747 0.8760
5 Pb 0.7500 0.7500 0.7500
6 Sr 0.3747 0.8760 0.3747

## Properties
E_tot in eV per cell: -171.91
Symmetry: F-43m (216)



2.
A plane-wave DFT calculation with meta-GGA SCAN was carried out for Li3Mg at its PBEsol-relaxed geometry.

Cell lengths 3.0336, 3.0336, 9.0656 Å; angles 90.00, 90.00, 104.43 degrees
Sites, in units of the cell vectors:
1 Mg 0.5000 0.5000 0.5000
2 Li 0.5000 0.5000 0.0000
3 Li 0.0000 0.0000 0.7511
4 Li 0.0000 0.0000 0.2490

## Properties
Calculated formation energy in meV/atom: -21
Symmetry: Cmmm (65)



3.
A plane-wave DFT calculation with meta-GGA SCAN was carried out for ReAu at its PBEsol-relaxed geometry.

Cell lengths 4.0120, 4.0120, 4.0120 Å; angles 60.00, 60.00, 60.00 degrees
Sites, in units of the cell vectors:
1 Au 0.0000 0.0000 0.0000
2 Re 0.7500 0.7500 0.7500

## Properties
Calculated formation energy in meV/atom: 2008
Excess energy over the best structure of this formula in the dataset in meV per atom: 1677
Symmetry: F-43m (216)



4.
A plane-wave DFT calculation with meta-GGA SCAN was carried out for RhWAu2 at its PBEsol-relaxed geometry.

Cell lengths 2.8405, 4.1045, 5.3237 Å; angles 90.00, 90.00, 90.00 degrees
Sites, in units of the cell vectors:
1 W 0.5000 0.5000 0.5000
2 Au 0.0000 0.0000 0.2519
3 Au 0.0000 0.0000 0.7481
4 Rh 0.5000 0.5000 0.0000

## Properties
Calculated formation energy in meV/atom: 260
Excess energy over the best structure of this formula in the dataset in meV per atom: 40
Symmetry: Pmmm (47)



5.
A plane-wave DFT calculation with meta-GGA SCAN was carried out for ScTiCN2 at its PBEsol-relaxed geometry.

Cell lengths 3.6397, 3.6397, 7.9541 Å; angles 90.00, 90.00, 90.00 degrees
Sites, in units of the cell vectors:
1 N 0.0000 0.5000 0.0000
2 C 0.5000 0.5000 0.5000
3 Sc 0.0000 0.0000 0.0000
4 Ti 0.0000 0.0000 0.5000
5 N 0.5000 0.0000 0.0000

## Properties
E_tot in eV per cell: -49.32
Symmetry: P4/mmm (123)



6.
A plane-wave DFT calculation with meta-GGA SCAN was carried out for AlMoP at its PBEsol-relaxed geometry.

Cell lengths 4.0801, 4.0801, 4.0801 Å; angles 60.00, 60.00, 60.00 degrees
Sites, in units of the cell vectors:
1 P 0.5000 0.5000 0.5000
2 Al 0.2500 0.2500 0.2500
3 Mo 0.0000 0.0000 0.0000

## Properties
Calculated formation energy in meV/atom: 710
Symmetry: F-43m (216)



7.
A plane-wave DFT calculation with meta-GGA SCAN was carried out for SiTc2Ru at its PBEsol-relaxed geometry.

Cell lengths 2.8550, 2.8550, 6.4401 Å; angles 90.00, 90.00, 90.00 degrees
Sites, in units of the cell vectors:
1 Tc 0.0000 0.0000 0.9803
2 Si 0.5000 0.5000 0.7451
3 Tc 0.5000 0.5000 0.2472
4 Ru 0.0000 0.0000 0.5274

## Properties
E_tot in eV per cell: -116.34
Symmetry: P4mm (99)



8.
A plane-wave DFT calculation with meta-GGA SCAN was carried out for MoAs2Au at its PBEsol-relaxed geometry.

Cell lengths 4.5368, 4.5368, 4.5368 Å; angles 60.00, 60.00, 60.00 degrees
Sites, in units of the cell vectors:
1 Mo 0.5000 0.5000 0.5000
2 As 0.7500 0.7500 0.7500
3 As 0.2500 0.2500 0.2500
4 Au 0.0000 0.0000 0.0000

## Properties
Calculated formation energy in meV/atom: 420
Symmetry: Fm-3m (225)



9.
A plane-wave DFT calculation with meta-GGA SCAN was carried out for CaMnCoMo2 at its PBEsol-relaxed geometry.

Cell lengths 4.2771, 4.4703, 4.4703 Å; angles 90.00, 90.00, 90.00 degrees
Sites, in units of the cell vectors:
1 Ca 0.0000 0.0000 0.0000
2 Mn 0.5000 0.0000 0.0000
3 Co 0.5000 0.5000 0.5000
4 Mo 0.0000 0.5000 0.0000
5 Mo 0.0000 0.0000 0.5000

## Properties
Calculated formation energy in meV/atom: 2694
Symmetry: P4/mmm (123)



10.
A plane-wave DFT calculation with meta-GGA SCAN was carried out for Cr2Cd2Mo at its PBEsol-relaxed geometry.

Cell lengths 3.8635, 3.8635, 6.2007 Å; angles 108.15, 108.15, 90.00 degrees
Sites, in units of the cell vectors:
1 Cd 0.7500 0.2500 0.5000
2 Cr 0.5799 0.5799 0.1598
3 Cd 0.2500 0.7500 0.5000
4 Mo 0.0000 0.0000 0.0000
5 Cr 0.4201 0.4201 0.8402

## Properties
Calculated formation energy in meV/atom: 942
Symmetry: I4/mmm (139)



11.
A plane-wave DFT calculation with meta-GGA SCAN was carried out for Na2PHO3 at its PBEsol-relaxed geometry.

Cell lengths 5.0224, 6.9568, 9.6829 Å; angles 90.00, 92.47, 90.00 degrees
Sites, in units of the cell vectors:
1 Na 0.7268 0.0627 0.2545
2 P 0.1841 0.2624 0.4270
3 O 0.7468 0.3108 0.0751
4 H 0.3366 0.4333 0.4140
5 Na 0.2732 0.9373 0.7455
6 Na 0.7759 0.6920 0.8951
7 O 0.8892 0.3144 0.4023
8 Na 0.7732 0.5627 0.2455
9 H 0.1634 0.9333 0.0860
10 O 0.2778 0.1250 0.3138
11 H 0.6634 0.5667 0.5860
12 P 0.3159 0.7624 0.0730
13 Na 0.7241 0.1920 0.6049
14 H 0.8366 0.0667 0.9140
15 P 0.8159 0.7376 0.5730
16 O 0.7532 0.8108 0.4249
17 O 0.1108 0.6856 0.5977
18 Na 0.2759 0.8080 0.3951
19 O 0.7222 0.8750 0.6862
20 O 0.3892 0.1856 0.9023
21 O 0.2222 0.6250 0.1862
22 P 0.6841 0.2376 0.9270
23 Na 0.2241 0.3080 0.1049
24 Na 0.2268 0.4373 0.7545
25 O 0.2532 0.6892 0.9249
26 O 0.2468 0.1892 0.5751
27 O 0.7778 0.3750 0.8138
28 O 0.6108 0.8144 0.0977

## Properties
E_tot in eV per cell: -221.11
Symmetry: P2_1/c (14)



12.
A plane-wave DFT calculation with meta-GGA SCAN was carried out for Mn3Cr3Te2O16 at its PBEsol-relaxed geometry.

Cell lengths 5.7119, 5.7119, 9.6567 Å; angles 90.75, 90.75, 59.73 degrees
Sites, in units of the cell vectors:
1 O 0.8411 0.8411 0.3946
2 O 0.4864 0.0278 0.1769
3 Te 0.6675 0.6675 0.5011
4 O 0.3184 0.8408 0.3960
5 O 0.4853 0.4853 0.1777
6 O 0.6701 0.6701 0.8890
7 O 0.0278 0.4864 0.1769
8 Cr 0.3450 0.8240 0.7808
9 Mn 0.8304 0.8304 0.7848
10 O 0.9716 0.5157 0.6770
11 O 0.3373 0.3373 0.3867
12 O 0.6764 0.1628 0.8959
13 Cr 0.8240 0.3450 0.7808
14 O 0.1590 0.1590 0.8953
15 O 0.8408 0.3184 0.3960
16 O 0.1628 0.6764 0.8959
17 O 0.5138 0.5138 0.6676
18 Cr 0.1705 0.1705 0.2812
19 Te 0.3322 0.3322 0.0001
20 Mn 0.1689 0.6611 0.2835
21 O 0.5157 0.9716 0.6770
22 O 0.9958 0.9958 0.1897
23 Mn 0.6611 0.1689 0.2835
24 O 0.9987 0.9987 0.6961

## Properties
E_tot in eV per cell: -327.66
Symmetry: Cm (8)